Entry 1:
# RbNi3S

A geometry-optimized RbNi3S structure (PBE, Alexandria via LeMat-Bulk).

Lattice parameters (Å, degrees): 4.4065 4.4065 4.4065 90.00 90.00 90.00
Space group Pm-3m (No. 221)
Asymmetric unit:
Rb 0.0000 0.0000 0.0000 x1
Ni 0.0000 0.5000 0.5000 x3
S 0.5000 0.5000 0.5000 x1

Output
ΔE to the lowest computed polymorph = 0.0 meV per atom
uncorrected formation energy = 0.272 eV per atom

***

Entry 2:
# TcHgRh

A geometry-optimized TcHgRh structure (PBE, Alexandria via LeMat-Bulk).

Lattice parameters (Å, degrees): 6.1021 6.1021 6.1021 90.00 90.00 90.00
Space group F-43m (No. 216)
Asymmetric unit:
Tc 0.0000 0.0000 0.0000 x4
Hg 0.0000 0.0000 0.5000 x4
Rh 0.2500 0.2500 0.7500 x4

Output
formation energy from the elements = 0.6399 eV/atom
ΔE to the lowest computed polymorph = 440.9 meV per atom